The following is a DFT calculation (GGA-PBE) of an optimized crystal structure of PmPrCd17.

Output
The formation energy from the elements comes out at -0.16 eV/atom. As for the raw total energy: -1.48 eV/atom.

Geometry as CIF:
```
data_PmPrCd17
_symmetry_space_group_name_H-M 'R 3 m'
_symmetry_Int_Tables_number 160
_symmetry_space_group_name_Hall 'R 3 -2"'
_cell_length_a 10.0998
_cell_length_b 10.0998
_cell_length_c 14.9908
_cell_angle_alpha 90.00
_cell_angle_beta 90.00
_cell_angle_gamma 120.00
loop_
_atom_site_label
_atom_site_type_symbol
_atom_site_fract_x
_atom_site_fract_y
_atom_site_fract_z
_atom_site_occupancy
Pm1 Pm 0.0000 0.0000 0.0000 1
Pr1 Pr 0.0000 0.0000 0.6608 1
Cd1 Cd 0.0000 0.0000 0.2257 1
Cd2 Cd 0.0000 0.0000 0.4249 1
Cd3 Cd 0.0329 0.3648 0.9956 1
Cd4 Cd 0.1706 0.3413 0.8084 1
Cd5 Cd 0.1763 0.3525 0.1659 1
Cd6 Cd 0.1856 0.3713 0.5115 1
```

The following is a DFT calculation (GGA-PBE) of an optimized crystal structure of LaTb3ErSc.

Output
The formation energy from the elements comes out at 0.05 eV/atom. As for the raw total energy: -4.90 eV/atom.

Geometry as CIF:
```
data_LaTb3ErSc
_symmetry_space_group_name_H-M 'P 1 21/m 1'
_symmetry_Int_Tables_number 11
_symmetry_space_group_name_Hall '-P 2yb'
_cell_length_a 4.9738
_cell_length_b 10.0647
_cell_length_c 7.9009
_cell_angle_alpha 90.00
_cell_angle_beta 108.28
_cell_angle_gamma 90.00
loop_
_atom_site_label
_atom_site_type_symbol
_atom_site_fract_x
_atom_site_fract_y
_atom_site_fract_z
_atom_site_occupancy
La1 La 0.0037 0.2500 0.0069 1
Tb1 Tb 0.1682 0.9997 0.3360 1
Tb2 Tb 0.3294 0.2500 0.6579 1
Er1 Er 0.5000 0.0000 0.0000 1
Sc1 Sc 0.3304 0.7500 0.6606 1
```